A plane-wave DFT calculation with PBE was carried out for a geometry-optimized KCoCuTc structure.

Unit cell a=6.417 b=6.417 c=6.417 alpha=90.00 beta=90.00 gamma=90.00
Space group F-43m (No. 216)
Symmetry-distinct sites (fractional):
K (0.000, 0.000, 0.000) (multiplicity 4)
Co (0.250, 0.250, 0.250) (multiplicity 4)
Cu (0.000, 0.000, 0.500) (multiplicity 4)
Tc (0.250, 0.250, 0.750) (multiplicity 4)

E above lowest polymorph = 240 meV/atom

A plane-wave DFT calculation with PBE was carried out for a geometry-optimized KCoCuTc structure.

Unit cell a=6.232 b=6.232 c=6.232 alpha=90.00 beta=90.00 gamma=90.00
Space group F-43m (No. 216)
Symmetry-distinct sites (fractional):
K (0.000, 0.000, 0.000) (multiplicity 4)
Co (0.000, 0.000, 0.500) (multiplicity 4)
Cu (0.250, 0.250, 0.250) (multiplicity 4)
Tc (0.250, 0.250, 0.750) (multiplicity 4)

E above lowest polymorph = 82 meV/atom

A plane-wave DFT calculation with PBE was carried out for a geometry-optimized KCoCuTe3 structure.

Unit cell a=3.839 b=15.514 c=10.432 alpha=90.00 beta=90.00 gamma=90.00
Space group Cmcm (No. 63)
Symmetry-distinct sites (fractional):
K (0.000, 0.238, 0.250) (multiplicity 4)
Co (0.000, 0.000, 0.000) (multiplicity 4)
Cu (0.000, 0.452, 0.750) (multiplicity 4)
Te (0.000, 0.063, 0.750) (multiplicity 4)
Te (0.000, 0.389, 0.526) (multiplicity 8)

A plane-wave DFT calculation with PBE was carried out for a geometry-optimized LaCoCu12 structure.

Unit cell a=11.503 b=11.503 c=11.503 alpha=90.00 beta=90.00 gamma=90.00
Space group Fm-3c (No. 226)
Symmetry-distinct sites (fractional):
La (0.250, 0.250, 0.250) (multiplicity 8)
Co (0.000, 0.000, 0.000) (multiplicity 8)
Cu (0.000, 0.117, 0.179) (multiplicity 96)

ΔE_f = -0.07 eV/atom

A plane-wave DFT calculation with PBE was carried out for a geometry-optimized La2Mg4CoCu structure.

Unit cell a=8.114 b=4.440 c=10.114 alpha=90.00 beta=90.00 gamma=90.00
Space group Amm2 (No. 38)
Symmetry-distinct sites (fractional):
La (0.000, 0.000, 0.000) (multiplicity 2)
La (0.500, 0.000, 0.098) (multiplicity 2)
Mg (0.202, 0.000, 0.713) (multiplicity 4)
Mg (0.309, 0.000, 0.399) (multiplicity 4)
Co (0.500, 0.000, 0.861) (multiplicity 2)
Cu (0.000, 0.000, 0.288) (multiplicity 2)

A plane-wave DFT calculation with PBE was carried out for a geometry-optimized LaCoCuSb structure.

Unit cell a=6.732 b=6.732 c=6.732 alpha=90.00 beta=90.00 gamma=90.00
Space group F-43m (No. 216)
Symmetry-distinct sites (fractional):
La (0.000, 0.000, 0.000) (multiplicity 4)
Co (0.250, 0.250, 0.250) (multiplicity 4)
Cu (0.250, 0.250, 0.750) (multiplicity 4)
Sb (0.000, 0.000, 0.500) (multiplicity 4)

E above lowest polymorph = 0 meV/atom

A plane-wave DFT calculation with PBE was carried out for a geometry-optimized LaCoCuSb structure.

Unit cell a=6.917 b=6.917 c=6.917 alpha=90.00 beta=90.00 gamma=90.00
Space group F-43m (No. 216)
Symmetry-distinct sites (fractional):
La (0.000, 0.000, 0.000) (multiplicity 4)
Co (0.000, 0.000, 0.500) (multiplicity 4)
Cu (0.250, 0.250, 0.750) (multiplicity 4)
Sb (0.250, 0.250, 0.250) (multiplicity 4)

E above lowest polymorph = 228 meV/atom

A plane-wave DFT calculation with PBE was carried out for a geometry-optimized LaCoCuSb structure.

Unit cell a=6.969 b=6.969 c=6.969 alpha=90.00 beta=90.00 gamma=90.00
Space group F-43m (No. 216)
Symmetry-distinct sites (fractional):
La (0.000, 0.000, 0.000) (multiplicity 4)
Co (0.250, 0.250, 0.750) (multiplicity 4)
Cu (0.000, 0.000, 0.500) (multiplicity 4)
Sb (0.250, 0.250, 0.250) (multiplicity 4)

E above lowest polymorph = 340 meV/atom

Short version: total energy = -4.0402, -4.1987, -3.8211, -4.1129, -3.5025, -5.1679, -4.9399, -4.8280 eV/atom, in the order given.